Compound: Tb2CeDyS6
Source: the Alexandria database
Functional: PBE-GGA
Structure: relaxed

```
data_Tb2CeDyS6
_cell_length_a 7.0094
_cell_length_b 7.0094
_cell_length_c 18.6237
_cell_angle_alpha 90.00
_cell_angle_beta 90.00
_cell_angle_gamma 120.00
_space_group_name_H-M_alt 'R 3'
_space_group_IT_number 146
_space_group_name_Hall 'R 3'
loop_
_atom_site_label
_atom_site_type_symbol
_atom_site_fract_x
_atom_site_fract_y
_atom_site_fract_z
Tb1 Tb 0.0000 0.0000 0.0000
Tb2 Tb 0.0000 0.0000 0.4969
Ce1 Ce 0.0000 0.0000 0.2928
Dy1 Dy 0.0000 0.0000 0.7974
S1 S 0.9999 0.3030 0.3988
S2 S 0.0479 0.6827 0.5648
```

Values from the calculation:
E_form (uncorrected) = -2021 meV per atom
crystal system = trigonal